SrMg2Te: relaxed, GGA-PBE.

a = 9.287 Å, b = 9.287 Å, c = 9.287 Å
α = 26.62°, β = 26.62°, γ = 26.62°
Sites, in units of the cell vectors:
Te  0.750  0.750  0.750
Mg  0.021  0.021  0.021
Mg  0.479  0.479  0.479
Sr  0.250  0.250  0.250

## Properties
- Crystal system: trigonal
- Volume: 35.4 Å³/atom
- Raw formation energy: -0.322 eV per atom
- Space-group type: R-3m, No. 166
- Total moment: 0.00 μB per cell
- Total DFT energy (no corrections): -9.30 eV per formula unit